A) An optimized crystal structure of CaTeW3, computed with PBE.

Summary:
Magnetic moment (μB/f.u.): 0.0
Volume (A^3/atom): 21.60

a b c (Å): 4.762 4.762 4.762
angles (deg): 90.00 90.00 90.00
Element x y z (fractional)
W 0.500 0.000 0.000
W 0.000 0.000 0.500
Ca 0.000 0.000 0.000
Te 0.500 0.500 0.500
W 0.000 0.500 0.000

***

B) An optimized crystal structure of CaTeW3, computed with PBE.

Summary:
Magnetic moment (μB/f.u.): 0.0
Volume (A^3/atom): 24.51

a b c (Å): 4.967 4.967 4.967
angles (deg): 90.00 90.00 90.00
Element x y z (fractional)
W 0.000 0.000 0.500
W 0.500 0.000 0.000
Te 0.000 0.000 0.000
Ca 0.500 0.500 0.500
W 0.000 0.500 0.000

***

Most stable of them? B).

***

A) An optimized crystal structure of Ca3YTe, computed with PBE.

Summary:
Magnetic moment (μB/f.u.): 4.4
Volume (A^3/atom): 44.59

a b c (Å): 6.064 6.064 6.064
angles (deg): 90.00 90.00 90.00
Each line ends with the local moment (μB).
Element x y z (fractional)
Te 0.500 0.500 0.500  0.06
Ca 0.000 0.500 0.000  0.27
Y 0.000 0.000 0.000  1.19
Ca 0.500 0.000 0.000  0.18
Ca 0.000 0.000 0.500  0.28

***

B) An optimized crystal structure of Ca3YTe, computed with PBE.

Summary:
Magnetic moment (μB/f.u.): 0.8
Volume (A^3/atom): 41.84

a b c (Å): 5.936 5.936 5.936
angles (deg): 90.00 90.00 90.00
Each line ends with the local moment (μB).
Element x y z (fractional)
Y 0.500 0.500 0.500  0.21
Te 0.000 0.000 0.000  0.00
Ca 0.000 0.000 0.500  0.04
Ca 0.500 0.000 0.000  0.03
Ca 0.000 0.500 0.000  0.03

***

Most stable of them? B).

***

A) An optimized crystal structure of CaY3Te, computed with PBE.

Summary:
Magnetic moment (μB/f.u.): 0.0
Volume (A^3/atom): 38.30

a b c (Å): 5.764 5.764 5.764
angles (deg): 90.00 90.00 90.00
Element x y z (fractional)
Y 0.000 0.500 0.000
Te 0.000 0.000 0.000
Ca 0.500 0.500 0.500
Y 0.500 0.000 0.000
Y 0.000 0.000 0.500

***

B) An optimized crystal structure of CaY3Te, computed with PBE.

Summary:
Magnetic moment (μB/f.u.): 0.0
Volume (A^3/atom): 35.21

a b c (Å): 5.605 5.605 5.605
angles (deg): 90.00 90.00 90.00
Element x y z (fractional)
Te 0.500 0.500 0.500
Y 0.000 0.500 0.000
Y 0.500 0.000 0.000
Ca 0.000 0.000 0.000
Y 0.000 0.000 0.500

***

Most stable of them? A).

***

A) An optimized crystal structure of CaYTe, computed with PBE.

Summary:
Magnetic moment (μB/f.u.): 0.1
Volume (A^3/atom): 33.22

a b c (Å): 5.144 5.144 4.348
angles (deg): 90.00 90.00 120.00
Element x y z (fractional)
Te 0.667 0.333 0.392
Y 0.333 0.667 0.550
Ca 0.000 0.000 0.058

***

B) An optimized crystal structure of CaYTe, computed with PBE.

Summary:
Magnetic moment (μB/f.u.): 0.6
Volume (A^3/atom): 32.03

a b c (Å): 7.012 7.012 3.857
angles (deg): 74.04 74.04 31.93
Each line ends with the local moment (μB).
Element x y z (fractional)
Y 0.693 0.693 0.307  0.23
Ca 0.984 0.984 0.016  0.04
Te 0.322 0.322 0.678  0.00

***

Most stable of them? B).

***

A) An optimized crystal structure of CaYTe, computed with PBE.

Summary:
Magnetic moment (μB/f.u.): 0.7
Volume (A^3/atom): 34.46

a b c (Å): 4.107 4.107 7.077
angles (deg): 90.00 90.00 120.00
Each line ends with the local moment (μB).
Element x y z (fractional)
Y 0.667 0.333 0.615  0.27
Te 0.333 0.667 0.340  0.00
Ca 0.000 0.000 0.045  0.01

***

B) An optimized crystal structure of CaYTe, computed with PBE.

Summary:
Magnetic moment (μB/f.u.): 1.1
Volume (A^3/atom): 32.12

a b c (Å): 5.146 5.146 5.146
angles (deg): 60.00 60.00 60.00
Each line ends with the local moment (μB).
Element x y z (fractional)
Y 0.000 0.000 0.000  0.42
Te 0.750 0.750 0.750  -0.01
Ca 0.500 0.500 0.500  0.12

***

Most stable of them? A).

***

A) An optimized crystal structure of CaZn3Te, computed with PBE.

Summary:
Magnetic moment (μB/f.u.): 0.0
Volume (A^3/atom): 30.19

a b c (Å): 5.325 5.325 5.325
angles (deg): 90.00 90.00 90.00
Element x y z (fractional)
Zn 0.000 0.000 0.500
Zn 0.500 0.000 0.000
Ca 0.500 0.500 0.500
Zn 0.000 0.500 0.000
Te 0.000 0.000 0.000

***

B) An optimized crystal structure of CaZn3Te, computed with PBE.

Summary:
Magnetic moment (μB/f.u.): 0.0
Volume (A^3/atom): 34.69

a b c (Å): 5.577 5.577 5.577
angles (deg): 90.00 90.00 90.00
Element x y z (fractional)
Te 0.500 0.500 0.500
Zn 0.000 0.500 0.000
Zn 0.500 0.000 0.000
Ca 0.000 0.000 0.000
Zn 0.000 0.000 0.500

***

Most stable of them? A).

***

A) An optimized crystal structure of CaZrTe2, computed with PBE.

Summary:
Magnetic moment (μB/f.u.): 0.0
Volume (A^3/atom): 28.17

a b c (Å): 4.215 4.215 7.717
angles (deg): 74.17 74.17 59.98
Element x y z (fractional)
Ca 0.250 0.250 0.250
Zr 0.750 0.750 0.750
Te 0.005 0.005 0.984
Te 0.495 0.495 0.516

***

B) An optimized crystal structure of CaZrTe2, computed with PBE.

Summary:
Magnetic moment (μB/f.u.): 1.9
Volume (A^3/atom): 27.09

a b c (Å): 5.351 5.351 5.351
angles (deg): 60.00 60.00 60.00
Each line ends with the local moment (μB).
Element x y z (fractional)
Ca 0.500 0.500 0.500  0.16
Te 0.250 0.250 0.250  -0.11
Zr 0.750 0.750 0.750  1.14
Te 0.000 0.000 0.000  -0.13

***

Most stable of them? A).

***

A) An optimized crystal structure of CaZrTe2, computed with PBE.

Summary:
Magnetic moment (μB/f.u.): 0.0
Volume (A^3/atom): 25.83

a b c (Å): 3.701 3.699 8.406
angles (deg): 63.89 90.00 90.00
Element x y z (fractional)
Te 0.000 0.976 0.024
Te 0.000 0.524 0.476
Zr 0.500 0.250 0.250
Ca 0.500 0.750 0.750

***

B) An optimized crystal structure of CaZrTe2, computed with PBE.

Summary:
Magnetic moment (μB/f.u.): 0.3
Volume (A^3/atom): 28.21

a b c (Å): 7.758 7.758 7.758
angles (deg): 150.86 150.18 42.18
Each line ends with the local moment (μB).
Element x y z (fractional)
Zr 0.454 0.454 0.000  0.11
Ca 0.707 0.207 0.500  0.02
Te 0.304 0.804 0.500  0.00
Te 0.035 0.035 0.000  -0.01

***

Most stable of them? B).

***

A) An optimized crystal structure of CaTh, computed with PBE.

Summary:
Magnetic moment (μB/f.u.): 0.0
Volume (A^3/atom): 35.88

a b c (Å): 3.616 7.681 5.166
angles (deg): 90.00 90.00 89.99
Element x y z (fractional)
Th 0.750 0.906 0.750
Ca 0.250 0.634 0.250
Ca 0.750 0.366 0.750
Th 0.250 0.094 0.250

***

B) An optimized crystal structure of CaTh, computed with PBE.

Summary:
Magnetic moment (μB/f.u.): 0.0
Volume (A^3/atom): 36.33

a b c (Å): 3.572 3.572 11.390
angles (deg): 90.00 90.00 90.01
Element x y z (fractional)
Th 0.750 0.250 0.392
Th 0.250 0.750 0.608
Ca 0.250 0.750 0.136
Ca 0.750 0.250 0.864

***

Most stable of them? B).

***

A) An optimized crystal structure of CaTh3, computed with PBE.

Summary:
Magnetic moment (μB/f.u.): 0.0
Volume (A^3/atom): 33.19

a b c (Å): 5.098 5.098 6.253
angles (deg): 114.05 114.05 90.00
Element x y z (fractional)
Th 0.750 0.250 0.500
Th 0.250 0.750 0.500
Th 0.500 0.500 0.000
Ca 0.000 0.000 0.000

***

B) An optimized crystal structure of CaTh3, computed with PBE.

Summary:
Magnetic moment (μB/f.u.): 0.0
Volume (A^3/atom): 33.55

a b c (Å): 3.567 6.333 6.965
angles (deg): 117.04 104.84 90.00
Element x y z (fractional)
Th 0.755 0.087 0.509
Th 0.500 0.500 0.000
Th 0.245 0.578 0.491
Ca 0.000 0.002 0.000

***

Most stable of them? B).

***

A) An optimized crystal structure of CaTm2Th, computed with PBE.

Summary:
Magnetic moment (μB/f.u.): 0.0
Volume (A^3/atom): 32.83

a b c (Å): 3.589 3.589 11.953
angles (deg): 81.37 81.37 60.00
Element x y z (fractional)
Tm 0.078 0.078 0.767
Ca 0.500 0.500 0.499
Tm 0.255 0.255 0.234
Th 0.666 0.666 0.001

***

B) An optimized crystal structure of CaTm2Th, computed with PBE.

Summary:
Magnetic moment (μB/f.u.): 0.0
Volume (A^3/atom): 32.42

a b c (Å): 4.907 5.141 5.141
angles (deg): 90.00 90.00 90.00
Element x y z (fractional)
Th 0.500 0.000 0.000
Ca 0.500 0.500 0.500
Tm 0.000 0.500 0.000
Tm 0.000 0.000 0.500

***

Most stable of them? A).